An optimized crystal structure of NiF5. Source: Alexandria via LeMat-Bulk, functional PBE+U.

a b c (Å): 2.966 5.237 5.482
angles (deg): 105.82 103.52 101.01
Space group P-1 (No. 2)
Symmetry-distinct sites (fractional):
Ni1 0.000 0.000 0.000 [1 per cell]
F1 0.201 0.159 0.381 [2 per cell]
F2 0.411 0.770 0.028 [2 per cell]
F3 0.500 0.500 0.500 [1 per cell]

For the total magnetization, the calculation gives 3.1 μB/f.u. The total energy is -17.98 eV for the cell shown. The mass density is 3.3 g/cm³.